Entry 1:
## ZrCuSb (SCAN)

Data for a PBEsol-optimized structure of ZrCuSb.

Cell: 5.5803 5.5803 5.5803 Å, 145.24 145.24 49.97°
Closest atoms and distances in Å follow each position.
Element x y z (fractional)
Zr1 0.0000 0.0000 0.0000  4 Cu 2.84, 5 Sb 3.04-3.11
Cu1 0.6566 0.6566 0.0000  4 Sb 2.77, 4 Zr 2.84
Sb1 0.3001 0.3001 0.0000  4 Cu 2.77, 1 Zr 3.04

- size of the total moment (Bohr magnetons per cell) = 0.000
- crystal system = tetragonal
- calculated volume (Å³/atom) = 18.7
- theoretical density (g/cm3) = 8.2
- total energy (eV/atom) = -27.91
- formation energy without anion corrections (eV per atom) = -0.1876


Entry 2:
## ZrCuSb3 (SCAN)

Data for a PBEsol-optimized structure of ZrCuSb3.

Cell: 4.9607 4.9607 4.9607 Å, 90.00 90.00 90.00°
Closest atoms and distances in Å follow each position.
Element x y z (fractional)
Zr1 0.0000 0.0000 0.0000  12 Sb 3.51
Cu1 0.5000 0.5000 0.5000  6 Sb 2.48
Sb1 0.0000 0.5000 0.5000  2 Cu 2.48
Sb2 0.5000 0.0000 0.5000  2 Cu 2.48
Sb3 0.5000 0.5000 0.0000  2 Cu 2.48

- size of the total moment (Bohr magnetons per cell) = 0.001
- crystal system = cubic
- calculated volume (Å³/atom) = 24.4
- theoretical density (g/cm3) = 7.1
- total energy (eV/atom) = -31.07
- formation energy without anion corrections (eV per atom) = 0.4627


Entry 3:
## ZrCuSb2 (SCAN)

Data for a PBEsol-optimized structure of ZrCuSb2.

Cell: 3.2675 3.2675 8.0438 Å, 90.00 90.00 104.42°
Closest atoms and distances in Å follow each position.
Element x y z (fractional)
Zr1 0.0000 0.0000 0.0000  4 Sb 2.93, 4 Zr 3.27
Cu1 0.0000 0.0000 0.5000  4 Sb 2.75
Sb1 0.5000 0.5000 0.2661  2 Cu 2.75, 2 Zr 2.93
Sb2 0.5000 0.5000 0.7339  2 Cu 2.75, 2 Zr 2.93

- size of the total moment (Bohr magnetons per cell) = 0.000
- crystal system = orthorhombic
- calculated volume (Å³/atom) = 20.8
- theoretical density (g/cm3) = 8.0
- total energy (eV/atom) = -30.16
- formation energy without anion corrections (eV per atom) = -0.0511


Entry 4:
## ZrCuSb (SCAN)

Data for a PBEsol-optimized structure of ZrCuSb.

Cell: 4.1711 4.1711 3.7584 Å, 90.00 90.00 120.00°
Closest atoms and distances in Å follow each position.
Element x y z (fractional)
Zr1 0.0000 0.0000 0.0000  3 Cu 2.77, 3 Sb 2.99
Cu1 0.3333 0.6667 0.6377  3 Sb 2.49, 3 Zr 2.77
Sb1 0.6667 0.3333 0.4733  3 Cu 2.49

- size of the total moment (Bohr magnetons per cell) = 0.000
- crystal system = trigonal
- calculated volume (Å³/atom) = 18.9
- theoretical density (g/cm3) = 8.1
- total energy (eV/atom) = -28.21
- formation energy without anion corrections (eV per atom) = -0.4907


Entry 5:
## Sc4Cu3 (SCAN)

Data for a PBEsol-optimized structure of Sc4Cu3.

Cell: 12.5301 12.5301 12.5301 Å, 165.36 165.36 20.75°
Closest atoms and distances in Å follow each position.
Element x y z (fractional)
Sc1 0.0660 0.0660 0.0000  4 Cu 2.78
Sc2 0.3365 0.3365 0.0000  5 Cu 2.72-2.74
Sc3 0.6635 0.6635 0.0000  5 Cu 2.72-2.74
Sc4 0.9340 0.9340 0.0000  4 Cu 2.78
Cu1 0.2262 0.2262 0.0000  4 Cu 2.54, 5 Sc 2.72-2.74
Cu2 0.5000 0.5000 0.0000  8 Sc 2.78
Cu3 0.7738 0.7738 0.0000  4 Cu 2.54, 5 Sc 2.72-2.74

- size of the total moment (Bohr magnetons per cell) = 1.222
- crystal system = tetragonal
- calculated volume (Å³/atom) = 17.9
- theoretical density (g/cm3) = 4.9
- E_form (meV/atom) = -181
- total energy (eV/atom) = -14.83


Entry 6:
## Sc2Cu (SCAN)

Data for a PBEsol-optimized structure of Sc2Cu.

Cell: 4.4559 4.4559 3.2905 Å, 90.00 90.00 120.00°
Closest atoms and distances in Å follow each position.
Element x y z (fractional)
Sc1 0.3333 0.6667 0.2234  3 Cu 2.73, 3 Sc 2.96
Sc2 0.6667 0.3333 0.7766  3 Cu 2.73, 3 Sc 2.96
Cu1 0.0000 0.0000 0.5000  6 Sc 2.73

- size of the total moment (Bohr magnetons per cell) = 0.000
- crystal system = trigonal
- calculated volume (Å³/atom) = 18.9
- theoretical density (g/cm3) = 4.5
- E_form (meV/atom) = -10
- total energy (eV/atom) = -14.57


Entry 7:
## Sc2Cu (SCAN)

Data for a PBEsol-optimized structure of Sc2Cu.

Cell: 7.5559 7.5559 4.6944 Å, 90.00 90.00 155.19°
Closest atoms and distances in Å follow each position.
Element x y z (fractional)
Sc1 0.0793 0.9207 0.7500  6 Cu 2.76-2.86
Sc2 0.2197 0.7803 0.2500  2 Cu 2.72, 4 Sc 2.99
Sc3 0.7803 0.2197 0.7500  2 Cu 2.72, 4 Sc 2.99
Sc4 0.9207 0.0793 0.2500  6 Cu 2.76-2.86
Cu1 0.4279 0.5721 0.7500  8 Sc 2.72-2.86
Cu2 0.5721 0.4279 0.2500  8 Sc 2.72-2.86

- size of the total moment (Bohr magnetons per cell) = 0.000
- crystal system = orthorhombic
- calculated volume (Å³/atom) = 18.7
- theoretical density (g/cm3) = 4.5
- E_form (meV/atom) = -194
- total energy (eV/atom) = -14.75


Entry 8:
## Sc5Cu3 (SCAN)

Data for a PBEsol-optimized structure of Sc5Cu3.

Cell: 7.9203 7.9203 5.4440 Å, 90.00 90.00 120.00°
Closest atoms and distances in Å follow each position.
Element x y z (fractional)
Sc1 0.0000 0.2422 0.2500  5 Cu 2.79-3.01
Sc2 0.0000 0.7578 0.7500  5 Cu 2.79-3.01
Sc3 0.2422 0.0000 0.2500  5 Cu 2.79-3.01
Sc4 0.2422 0.2422 0.7500  5 Cu 2.79-3.01
Sc5 0.3333 0.6667 0.0000  2 Sc 2.72, 6 Cu 2.77
Sc6 0.3333 0.6667 0.5000  2 Sc 2.72, 6 Cu 2.77
Sc7 0.6667 0.3333 0.0000  2 Sc 2.72, 6 Cu 2.77
Sc8 0.6667 0.3333 0.5000  2 Sc 2.72, 6 Cu 2.77
Sc9 0.7578 0.0000 0.7500  5 Cu 2.79-3.01
Sc10 0.7578 0.7578 0.2500  5 Cu 2.79-3.01
Cu1 0.0000 0.4048 0.7500  9 Sc 2.77-3.01
Cu2 0.0000 0.5952 0.2500  9 Sc 2.77-3.01
Cu3 0.4048 0.0000 0.7500  9 Sc 2.77-3.01
Cu4 0.4048 0.4048 0.2500  9 Sc 2.77-3.01
Cu5 0.5952 0.0000 0.2500  9 Sc 2.77-3.01
Cu6 0.5952 0.5952 0.7500  9 Sc 2.77-3.01

- size of the total moment (Bohr magnetons per cell) = 0.000
- crystal system = hexagonal
- calculated volume (Å³/atom) = 18.5
- theoretical density (g/cm3) = 4.7
- E_form (meV/atom) = -195
- total energy (eV/atom) = -14.79


Entry 9:
## Sc2Cu (SCAN)

Data for a PBEsol-optimized structure of Sc2Cu.

Cell: 8.5994 8.5994 8.5994 Å, 60.00 60.00 60.00°
Closest atoms and distances in Å follow each position.
Element x y z (fractional)
Sc1 0.0000 0.0000 0.0000  6 Cu 2.66
Sc2 0.0000 0.0000 0.5000  6 Cu 2.66
Sc3 0.0000 0.5000 0.0000  6 Cu 2.66
Sc4 0.1897 0.1897 0.5603  4 Cu 2.82-3.15, 2 Sc 3.15
Sc5 0.1897 0.5603 0.1897  4 Cu 2.82-3.15, 2 Sc 3.15
Sc6 0.1897 0.5603 0.5603  4 Cu 2.82-3.15, 2 Sc 3.15
Sc7 0.4397 0.4397 0.8103  4 Cu 2.82-3.15, 2 Sc 3.15
Sc8 0.4397 0.8103 0.4397  4 Cu 2.82-3.15, 2 Sc 3.15
Sc9 0.4397 0.8103 0.8103  4 Cu 2.82-3.15, 2 Sc 3.15
Sc10 0.5000 0.0000 0.0000  6 Cu 2.66
Sc11 0.5603 0.1897 0.1897  4 Cu 2.82-3.15, 2 Sc 3.15
Sc12 0.5603 0.1897 0.5603  4 Cu 2.82-3.15, 2 Sc 3.15
Sc13 0.5603 0.5603 0.1897  4 Cu 2.82-3.15, 2 Sc 3.15
Sc14 0.8103 0.4397 0.4397  4 Cu 2.82-3.15, 2 Sc 3.15
Sc15 0.8103 0.4397 0.8103  4 Cu 2.82-3.15, 2 Sc 3.15
Sc16 0.8103 0.8103 0.4397  4 Cu 2.82-3.15, 2 Sc 3.15
Cu1 0.1347 0.7884 0.7884  6 Sc 2.66-2.82
Cu2 0.2116 0.2116 0.2116  6 Sc 2.66-2.82
Cu3 0.2116 0.2116 0.8653  6 Sc 2.66-2.82
Cu4 0.2116 0.8653 0.2116  6 Sc 2.66-2.82
Cu5 0.7884 0.1347 0.7884  6 Sc 2.66-2.82
Cu6 0.7884 0.7884 0.1347  6 Sc 2.66-2.82
Cu7 0.7884 0.7884 0.7884  6 Sc 2.66-2.82
Cu8 0.8653 0.2116 0.2116  6 Sc 2.66-2.82

- size of the total moment (Bohr magnetons per cell) = 0.000
- crystal system = cubic
- calculated volume (Å³/atom) = 18.7
- theoretical density (g/cm3) = 4.5
- E_form (meV/atom) = -232
- total energy (eV/atom) = -14.79


Entry 10:
## Sc2Cu (SCAN)

Data for a PBEsol-optimized structure of Sc2Cu.

Cell: 6.0307 6.0307 6.1387 Å, 90.00 90.00 148.00°
Closest atoms and distances in Å follow each position.
Element x y z (fractional)
Sc1 0.0272 0.9728 0.5000  4 Cu 2.60-2.75
Sc2 0.2957 0.7043 0.6835  3 Cu 2.69-2.70
Sc3 0.7043 0.2957 0.1835  3 Cu 2.69-2.70
Sc4 0.9728 0.0272 0.0000  4 Cu 2.60-2.75
Cu1 0.3807 0.6193 0.2743  7 Sc 2.60-2.75
Cu2 0.6193 0.3807 0.7743  7 Sc 2.60-2.75

- size of the total moment (Bohr magnetons per cell) = 0.001
- crystal system = orthorhombic
- calculated volume (Å³/atom) = 19.7
- theoretical density (g/cm3) = 4.3
- E_form (meV/atom) = -160
- total energy (eV/atom) = -14.72


Entry 11:
## Sc2Cu (SCAN)

Data for a PBEsol-optimized structure of Sc2Cu.

Cell: 6.1165 6.1165 6.3628 Å, 105.07 105.07 30.17°
Closest atoms and distances in Å follow each position.
Element x y z (fractional)
Sc1 0.1405 0.1405 0.0698  4 Cu 2.77-2.78
Sc2 0.1421 0.1421 0.5717  4 Cu 2.75-2.76
Sc3 0.8579 0.8579 0.4283  4 Cu 2.75-2.76
Sc4 0.8595 0.8595 0.9302  4 Cu 2.77-2.78
Cu1 0.4992 0.4992 0.7459  8 Sc 2.75-2.78
Cu2 0.5008 0.5008 0.2541  8 Sc 2.75-2.78

- size of the total moment (Bohr magnetons per cell) = 0.919
- crystal system = monoclinic
- calculated volume (Å³/atom) = 19.2
- theoretical density (g/cm3) = 4.4
- E_form (meV/atom) = -198
- total energy (eV/atom) = -14.76


Entry 12:
## Sc2Cu (SCAN)

Data for a PBEsol-optimized structure of Sc2Cu.

Cell: 6.6972 6.6972 4.4451 Å, 90.00 90.00 120.00°
Closest atoms and distances in Å follow each position.
Element x y z (fractional)
Sc1 0.0000 0.4072 0.0000  5 Cu 2.73-3.01
Sc2 0.0000 0.7373 0.5000  2 Cu 2.50
Sc3 0.2627 0.2627 0.5000  2 Cu 2.50
Sc4 0.4072 0.0000 0.0000  5 Cu 2.73-3.01
Sc5 0.5928 0.5928 0.0000  5 Cu 2.73-3.01
Sc6 0.7373 0.0000 0.5000  2 Cu 2.50
Cu1 0.0000 0.0000 0.0000  9 Sc 2.73-2.83
Cu2 0.3333 0.6667 0.5000  3 Sc 2.50
Cu3 0.6667 0.3333 0.5000  3 Sc 2.50

- size of the total moment (Bohr magnetons per cell) = 0.000
- crystal system = hexagonal
- calculated volume (Å³/atom) = 19.2
- theoretical density (g/cm3) = 4.4
- E_form (meV/atom) = -217
- total energy (eV/atom) = -14.77